DFT (GGA-PBEsol) results for a relaxed structure of SiSb2ICl.

Lattice parameters (Å, degrees): 5.266 5.266 5.415 90.00 90.00 90.00
Space group P4/mmm (No. 123)
One atom of each set of equivalent atoms:
Si 0.000 0.000 0.000 (multiplicity 1)
Sb 0.000 0.500 0.500 (multiplicity 2)
I 0.500 0.500 0.000 (multiplicity 1)
Cl 0.500 0.500 0.500 (multiplicity 1)

Properties
formation energy without anion corrections: 1.038 eV per atom
M_tot: 0.00 μB per formula unit

***

DFT (GGA-PBEsol) results for a relaxed structure of BaZn2Ni.

Lattice parameters (Å, degrees): 4.2094 4.2094 17.0757 90.00 90.00 120.00
Space group R-3m (No. 166, hexagonal axes)
One atom of each set of equivalent atoms:
Ba 0.0000 0.0000 0.0000 (multiplicity 3)
Zn 0.0000 0.0000 0.1915 (multiplicity 6)
Ni 0.0000 0.0000 0.5000 (multiplicity 3)

Properties
energy relative to the elements: -0.16 eV per atom
M_tot: 0.00 μB per formula unit

***

DFT (GGA-PBEsol) results for a relaxed structure of ZnCdBi2.

Lattice parameters (Å, degrees): 6.708 6.708 11.485 90.00 90.00 90.00
Space group I-42d (No. 122)
One atom of each set of equivalent atoms:
Zn 0.000 0.000 0.000 (multiplicity 4)
Cd 0.000 0.000 0.500 (multiplicity 4)
Bi 0.225 0.250 0.125 (multiplicity 8)

Properties
energy relative to the elements: 0.29 eV per atom
M_tot: 0.00 μB per formula unit

***

DFT (GGA-PBEsol) results for a relaxed structure of LaCuO3.

Lattice parameters (Å, degrees): 3.815 3.815 3.815 90.00 90.00 90.00
Space group Pm-3m (No. 221)
One atom of each set of equivalent atoms:
La 0.000 0.000 0.000 (multiplicity 1)
Cu 0.500 0.500 0.500 (multiplicity 1)
O 0.000 0.500 0.500 (multiplicity 3)

Properties
formation energy without anion corrections: -2.051 eV per atom
M_tot: 0.00 μB per formula unit

***

DFT (GGA-PBEsol) results for a relaxed structure of Zn2AgPt.

Lattice parameters (Å, degrees): 5.841 7.001 2.824 90.00 90.00 90.00
Space group Cmmm (No. 65)
One atom of each set of equivalent atoms:
Zn 0.250 0.250 0.000 (multiplicity 4)
Ag 0.000 0.000 0.500 (multiplicity 2)
Pt 0.000 0.500 0.500 (multiplicity 2)

Properties
energy relative to the elements: -0.30 eV per atom
M_tot: 0.00 μB per formula unit

***

DFT (GGA-PBEsol) results for a relaxed structure of ScMo2Ir.

Lattice parameters (Å, degrees): 5.136 8.891 2.770 90.00 90.00 90.00
Space group Cmmm (No. 65)
One atom of each set of equivalent atoms:
Sc 0.000 0.000 0.000 (multiplicity 2)
Mo 0.250 0.250 0.500 (multiplicity 4)
Ir 0.000 0.500 0.000 (multiplicity 2)

Properties
energy relative to the elements: 0.01 eV per atom
M_tot: 0.00 μB per formula unit

***

DFT (GGA-PBEsol) results for a relaxed structure of Y4ScAg.

Lattice parameters (Å, degrees): 8.765 8.765 8.765 90.00 90.00 90.00
Space group F-43m (No. 216)
One atom of each set of equivalent atoms:
Y 0.125 0.125 0.125 (multiplicity 16)
Sc 0.000 0.000 0.500 (multiplicity 4)
Ag 0.250 0.250 0.750 (multiplicity 4)

Properties
energy relative to the elements: 0.44 eV per atom
M_tot: 0.00 μB per formula unit

***

DFT (GGA-PBEsol) results for a relaxed structure of Li2LaMo.

Lattice parameters (Å, degrees): 2.841 2.841 9.871 90.00 90.00 90.00
Space group P4mm (No. 99)
One atom of each set of equivalent atoms:
Li 0.000 0.000 0.000 (multiplicity 1)
Li 0.500 0.500 0.234 (multiplicity 1)
La 0.500 0.500 0.699 (multiplicity 1)
Mo 0.000 0.000 0.443 (multiplicity 1)

Properties
energy relative to the elements: 0.45 eV per atom
M_tot: 0.00 μB per formula unit

***

DFT (GGA-PBEsol) results for a relaxed structure of CdAg4.

Lattice parameters (Å, degrees): 9.574 2.889 7.077 90.00 119.24 90.00
Space group C2/m (No. 12)
One atom of each set of equivalent atoms:
Cd 0.000 0.000 0.000 (multiplicity 2)
Ag 0.101 0.500 0.404 (multiplicity 4)
Ag 0.198 0.000 0.797 (multiplicity 4)

Properties
energy relative to the elements: -0.04 eV per atom
M_tot: 0.00 μB per formula unit

***

DFT (GGA-PBEsol) results for a relaxed structure of Na2CrMoCl.

Lattice parameters (Å, degrees): 4.936 4.936 4.543 90.00 90.00 90.00
Space group P4/mmm (No. 123)
One atom of each set of equivalent atoms:
Na 0.000 0.500 0.000 (multiplicity 2)
Cr 0.000 0.000 0.500 (multiplicity 1)
Mo 0.500 0.500 0.500 (multiplicity 1)
Cl 0.500 0.500 0.000 (multiplicity 1)

Properties
formation energy without anion corrections: 0.919 eV per atom
M_tot: 3.48 μB per formula unit

***

DFT (GGA-PBEsol) results for a relaxed structure of YInOs2.

Lattice parameters (Å, degrees): 3.227 4.916 8.983 90.00 90.00 90.00
Space group Immm (No. 71)
One atom of each set of equivalent atoms:
Y 0.000 0.000 0.000 (multiplicity 2)
In 0.000 0.000 0.500 (multiplicity 2)
Os 0.000 0.500 0.246 (multiplicity 4)

Properties
energy relative to the elements: 0.44 eV per atom
M_tot: 0.00 μB per formula unit

***

DFT (GGA-PBEsol) results for a relaxed structure of TcAsBr3.

Lattice parameters (Å, degrees): 5.259 5.259 5.259 90.00 90.00 90.00
Space group Pm-3m (No. 221)
One atom of each set of equivalent atoms:
Tc 0.000 0.000 0.000 (multiplicity 1)
As 0.500 0.500 0.500 (multiplicity 1)
Br 0.000 0.500 0.500 (multiplicity 3)

Properties
formation energy without anion corrections: 0.936 eV per atom
M_tot: 5.43 μB per formula unit

***

no.,E (eV per atom)
1,-2.69
2,-3.03
3,-2.55
4,-7.14
5,-3.66
6,-9.98
7,-5.76
8,-4.81
9,-2.92
10,-4.44
11,-8.12
12,-3.46